Below is crystalline BaMnI2O at its relaxed geometry, with properties calculated at the PBE+U level.

a b c (Å): 6.0626 6.0626 3.9828
angles (deg): 90.00 90.00 90.00
Closest atoms and distances in Å follow each position.
Space group P4/mmm (No. 123)
Inequivalent atoms, fractional coordinates:
Ba1 0.0000 0.0000 0.0000 x1  8 I 3.63, 2 Ba 3.98
Mn1 0.5000 0.5000 0.5000 x1  2 O 1.99
I1 0.0000 0.5000 0.5000 x2  2 Mn 3.03
O1 0.5000 0.5000 0.0000 x1  2 Mn 1.99

**Raw total energy**: -4.72 eV per atom
**ΔE to the lowest computed polymorph**: 0 meV/atom
**Calculated volume**: 29.3 Å³/atom